TbAl7Ni5 | PBE | optimized geometry

density of states at the Fermi level = 6.34 states/eV/f.u.
SG = No. 44
raw total energy = -5.186 eV per atom
magnetization = 0.000 μB/f.u.
calculated volume = 184 Å³/cell

Unit cell a=4.9962 b=6.5618 c=6.5618 alpha=82.66 beta=67.62 gamma=67.62
Last column: nearest neighbours and their distance in Å.
Fractional coordinates of all 13 atoms:
1 Al 0.5111 0.7809 0.1968  5 Ni 2.44-2.59, 1 Al 2.71
2 Al 0.2734 0.2266 0.2266  4 Ni 2.43, 4 Al 2.70-2.71
3 Al 0.3412 0.6588 0.6588  3 Al 2.65-2.91, 6 Ni 2.67-2.68, 1 Tb 2.86
4 Al 0.6536 0.3464 0.3464  4 Ni 2.58, 5 Al 2.65-2.81
5 Al 0.9846 0.3607 0.6700  5 Ni 2.51-2.69, 4 Al 2.68-2.80
6 Al 0.5111 0.1968 0.7809  5 Ni 2.44-2.59, 1 Al 2.71
7 Al 0.9846 0.6700 0.3607  5 Ni 2.51-2.69, 4 Al 2.68-2.80
8 Ni 0.4996 0.4892 0.0076  7 Al 2.43-2.69, 3 Ni 2.48-2.58
9 Ni 0.0036 0.0076 0.4892  7 Al 2.43-2.69, 3 Ni 2.48-2.58
10 Ni 0.4996 0.0076 0.4892  7 Al 2.43-2.69, 3 Ni 2.48-2.58
11 Ni 0.7297 0.7703 0.7703  6 Al 2.55-2.67, 4 Ni 2.58
12 Ni 0.0036 0.4892 0.0076  7 Al 2.43-2.69, 3 Ni 2.48-2.58
13 Tb 0.0043 0.9957 0.9957  10 Al 2.86-3.18, 2 Ni 3.15



GePClO2 | PBE | optimized geometry

density of states at the Fermi level = 0.00 states/eV/f.u.
polymorph energy (0 for the lowest one) = 0.000 eV per atom
ΔE_f (raw) = -1.2070 eV/atom
SG = No. 62
magnetization = 0.000 μB/f.u.
calculated volume = 498 Å³/cell

Unit cell a=5.3455 b=8.8180 c=10.5650 alpha=90.00 beta=90.00 gamma=90.00
Last column: nearest neighbours and their distance in Å.
Fractional coordinates of all 20 atoms:
1 Cl 0.7500 0.6550 0.5432  1 Ge 2.32
2 Cl 0.7500 0.1550 0.9568  1 Ge 2.32
3 Cl 0.2500 0.8450 0.0432  1 Ge 2.32
4 Cl 0.2500 0.3450 0.4568  1 Ge 2.32
5 Ge 0.7500 0.9245 0.8504  2 O 2.02
6 Ge 0.2500 0.5755 0.3504  2 O 2.02
7 Ge 0.7500 0.4245 0.6496  2 O 2.02
8 Ge 0.2500 0.0755 0.1496  2 O 2.02
9 O 0.5110 0.0059 0.2747  1 P 1.53
10 O 0.0110 0.9941 0.7253  1 P 1.53
11 O 0.4890 0.4941 0.7747  1 P 1.53
12 O 0.9890 0.5059 0.2253  1 P 1.53
13 O 0.5110 0.5059 0.2253  1 P 1.53
14 O 0.0110 0.4941 0.7747  1 P 1.53
15 O 0.4890 0.9941 0.7253  1 P 1.53
16 O 0.9890 0.0059 0.2747  1 P 1.53
17 P 0.2500 0.9932 0.6456  2 O 1.53
18 P 0.7500 0.5068 0.1456  2 O 1.53
19 P 0.2500 0.4932 0.8544  2 O 1.53
20 P 0.7500 0.0068 0.3544  2 O 1.53



Dy4CoSn2 | PBE | optimized geometry

density of states at the Fermi level = 5.65 states/eV/f.u.
polymorph energy (0 for the lowest one) = 0.000 eV per atom
SG = No. 12
magnetization = 0.000 μB/f.u.
calculated volume = 184 Å³/cell

Unit cell a=4.5268 b=8.5229 c=7.5910 alpha=135.94 beta=107.35 gamma=90.00
Last column: nearest neighbours and their distance in Å.
Fractional coordinates of all 7 atoms:
1 Dy 0.9320 0.2105 0.8639  1 Co 2.62
2 Dy 0.3339 0.7278 0.6679  2 Co 2.81, 2 Sn 3.11
3 Dy 0.6661 0.2722 0.3321  2 Co 2.81, 2 Sn 3.11
4 Dy 0.0680 0.7895 0.1361  1 Co 2.62
5 Co 0.0000 0.0000 0.0000  6 Dy 2.62-2.81
6 Sn 0.3485 0.3619 0.6971  1 Sn 3.04, 8 Dy 3.11-3.33, 1 Co 3.40
7 Sn 0.6515 0.6381 0.3029  1 Sn 3.04, 8 Dy 3.11-3.33, 1 Co 3.40



HoHfHgIr | PBE | optimized geometry

density of states at the Fermi level = 3.64 states/eV/f.u.
SG = No. 216
raw total energy = -6.362 eV per atom
magnetization = 0.000 μB/f.u.
calculated volume = 83 Å³/cell

Unit cell a=4.8950 b=4.8950 c=4.8950 alpha=60.00 beta=60.00 gamma=60.00
Last column: nearest neighbours and their distance in Å.
Fractional coordinates of all 4 atoms:
1 Ho 0.7500 0.7500 0.7500  4 Hg 3.00, 4 Ir 3.00
2 Ir 0.5000 0.5000 0.5000  4 Hf 3.00, 4 Ho 3.00
3 Hf 0.2500 0.2500 0.2500  4 Hg 3.00, 4 Ir 3.00
4 Hg 0.0000 0.0000 0.0000  4 Hf 3.00, 4 Ho 3.00



AsHIrBr2 | PBE | optimized geometry

density of states at the Fermi level = 3.60 states/eV/f.u.
polymorph energy (0 for the lowest one) = 0.355 eV per atom
SG = No. 123
magnetization = 0.000 μB/f.u.
calculated volume = 84 Å³/cell

Unit cell a=4.9197 b=4.9197 c=3.4627 alpha=90.00 beta=90.00 gamma=90.00
Last column: nearest neighbours and their distance in Å.
Fractional coordinates of all 5 atoms:
1 Ir 0.5000 0.5000 0.5000  8 Br 3.01
2 Br 0.0000 0.5000 0.0000  2 H 2.46
3 Br 0.5000 0.0000 0.0000  2 H 2.46
4 H 0.0000 0.0000 0.0000  2 As 1.73
5 As 0.0000 0.0000 0.5000  2 H 1.73



Ti4Zn3Rh2 | PBE | optimized geometry

density of states at the Fermi level = 6.98 states/eV/f.u.
SG = No. 12
raw total energy = -5.952 eV per atom
magnetization = 0.001 μB/f.u.
calculated volume = 138 Å³/cell

Unit cell a=4.3835 b=5.1666 c=6.9325 alpha=110.84 beta=108.43 gamma=90.00
Last column: nearest neighbours and their distance in Å.
Fractional coordinates of all 9 atoms:
1 Zn 0.0000 0.0000 0.0000  6 Ti 2.68-2.75, 2 Zn 2.77, 4 Rh 2.98
2 Zn 0.1189 0.5698 0.2377  6 Ti 2.72-2.99, 3 Rh 2.73-2.82, 2 Zn 2.77-2.93
3 Zn 0.8811 0.4302 0.7623  6 Ti 2.72-2.99, 3 Rh 2.73-2.82, 2 Zn 2.77-2.93
4 Ti 0.5554 0.7838 0.1108  2 Rh 2.48-2.61, 4 Zn 2.68-2.72, 1 Ti 2.74
5 Ti 0.2242 0.1482 0.4484  3 Rh 2.62-2.71, 2 Zn 2.75-2.78, 3 Ti 2.79-2.90
6 Ti 0.7758 0.8518 0.5516  3 Rh 2.62-2.71, 2 Zn 2.75-2.78, 3 Ti 2.79-2.90
7 Ti 0.4446 0.2162 0.8892  2 Rh 2.48-2.61, 4 Zn 2.68-2.72, 1 Ti 2.74
8 Rh 0.3474 0.7016 0.6947  5 Ti 2.48-2.71, 2 Zn 2.73
9 Rh 0.6526 0.2984 0.3053  5 Ti 2.48-2.71, 2 Zn 2.73



Cd2ReSi | PBE | optimized geometry

density of states at the Fermi level = 3.80 states/eV/f.u.
ΔE_f (raw) = 0.8081 eV/atom
SG = No. 123
magnetization = 0.000 μB/f.u.
calculated volume = 73 Å³/cell

Unit cell a=5.1003 b=5.1003 c=2.8181 alpha=90.00 beta=90.00 gamma=90.00
Last column: nearest neighbours and their distance in Å.
Fractional coordinates of all 4 atoms:
1 Cd 0.0000 0.0000 0.0000  2 Cd 2.82, 4 Si 2.91, 4 Re 2.91
2 Cd 0.5000 0.5000 0.0000  2 Cd 2.82, 4 Re 2.91, 4 Si 2.91
3 Re 0.5000 0.0000 0.5000  2 Re 2.82, 8 Cd 2.91
4 Si 0.0000 0.5000 0.5000  2 Si 2.82, 8 Cd 2.91



TbPuPdPt | PBE | optimized geometry

density of states at the Fermi level = 13.85 states/eV/f.u.
polymorph energy (0 for the lowest one) = 0.000 eV per atom
SG = No. 38
magnetization = 5.607 μB/f.u.
calculated volume = 91 Å³/cell

Unit cell a=3.7978 b=4.4584 c=5.6890 alpha=90.00 beta=109.50 gamma=90.00
Last column: nearest neighbours and their distance in Å.
Fractional coordinates of all 4 atoms:
1 Pt 0.5881 0.5000 0.1763  2 Pd 2.92, 3 Pu 2.93-3.09, 4 Tb 2.98
2 Pd 0.4123 0.0000 0.8246  2 Pt 2.92, 3 Tb 2.94-3.08, 4 Pu 2.98
3 Pu 0.8610 0.5000 0.7220  3 Pt 2.93-3.09, 4 Pd 2.98
4 Tb 0.1385 0.0000 0.2770  3 Pd 2.94-3.08, 4 Pt 2.98



SrFeRu | PBE | optimized geometry

density of states at the Fermi level = 3.24 states/eV/f.u.
polymorph energy (0 for the lowest one) = 0.013 eV per atom
SG = No. 11
magnetization = 0.002 μB/f.u.
calculated volume = 138 Å³/cell

Unit cell a=4.0927 b=4.2759 c=7.8818 alpha=86.27 beta=90.00 gamma=90.00
Last column: nearest neighbours and their distance in Å.
Fractional coordinates of all 6 atoms:
1 Sr 0.2534 0.6637 0.4345  3 Fe 3.04-3.24, 2 Ru 3.23
2 Sr 0.7534 0.1913 0.0786  3 Fe 3.04-3.24, 2 Ru 3.23
3 Fe 0.2531 0.2381 0.7587  4 Ru 2.24-2.46
4 Fe 0.7531 0.6168 0.7544  4 Ru 2.24-2.46
5 Ru 0.2532 0.7517 0.8836  4 Fe 2.24-2.46
6 Ru 0.7532 0.1032 0.6296  4 Fe 2.24-2.46



Ti2AlHOs | PBE | optimized geometry

density of states at the Fermi level = 3.32 states/eV/f.u.
polymorph energy (0 for the lowest one) = 0.071 eV per atom
SG = No. 123
magnetization = 0.000 μB/f.u.
calculated volume = 63 Å³/cell

Unit cell a=3.8902 b=3.8902 c=4.1345 alpha=90.00 beta=90.00 gamma=90.00
Last column: nearest neighbours and their distance in Å.
Fractional coordinates of all 5 atoms:
1 Ti 0.5000 0.0000 0.0000  2 H 1.95
2 Ti 0.0000 0.5000 0.0000  2 H 1.95
3 H 0.0000 0.0000 0.0000  4 Ti 1.95, 2 Al 2.07
4 Al 0.0000 0.0000 0.5000  2 H 2.07
5 Os 0.5000 0.5000 0.5000  4 Al 2.75, 8 Ti 2.84



Re2Pd2S | PBE | optimized geometry

density of states at the Fermi level = 5.20 states/eV/f.u.
polymorph energy (0 for the lowest one) = 0.000 eV per atom
ΔE_f (raw) = 0.3012 eV/atom
SG = No. 127
magnetization = 0.000 μB/f.u.
calculated volume = 157 Å³/cell

Unit cell a=6.0534 b=6.0534 c=4.2883 alpha=90.00 beta=90.00 gamma=90.00
Last column: nearest neighbours and their distance in Å.
Fractional coordinates of all 10 atoms:
1 Re 0.6463 0.1463 0.0000  2 S 2.32, 1 Re 2.51
2 Re 0.1463 0.3537 0.0000  2 S 2.32, 1 Re 2.51
3 Re 0.8537 0.6463 0.0000  2 S 2.32, 1 Re 2.51
4 Re 0.3537 0.8537 0.0000  2 S 2.32, 1 Re 2.51
5 Pd 0.3433 0.1567 0.5000  1 Pd 2.68, 6 Re 2.73-2.82
6 Pd 0.1567 0.6567 0.5000  1 Pd 2.68, 6 Re 2.73-2.82
7 Pd 0.8433 0.3433 0.5000  1 Pd 2.68, 6 Re 2.73-2.82
8 Pd 0.6567 0.8433 0.5000  1 Pd 2.68, 6 Re 2.73-2.82
9 S 0.0000 0.0000 0.0000  4 Re 2.32
10 S 0.5000 0.5000 0.0000  4 Re 2.32



AcThAl | PBE | optimized geometry

density of states at the Fermi level = 3.81 states/eV/f.u.
polymorph energy (0 for the lowest one) = 0.082 eV per atom
SG = No. 166
magnetization = 0.000 μB/f.u.
calculated volume = 192 Å³/cell

Unit cell a=5.5499 b=5.5499 c=7.8799 alpha=69.38 beta=69.38 gamma=60.00
Last column: nearest neighbours and their distance in Å.
Fractional coordinates of all 6 atoms:
1 Al 0.5631 0.5631 0.3106  1 Al 2.73, 1 Th 3.05
2 Al 0.4369 0.4369 0.6894  1 Al 2.73, 1 Th 3.05
3 Ac 0.8836 0.8836 0.3493  3 Al 3.22
4 Ac 0.1164 0.1164 0.6507  3 Al 3.22
5 Th 0.7044 0.7044 0.8869  1 Al 3.05
6 Th 0.2956 0.2956 0.1131  1 Al 3.05



TiNbAl2 | PBE | optimized geometry

density of states at the Fermi level = 3.12 states/eV/f.u.
polymorph energy (0 for the lowest one) = 0.476 eV per atom
SG = No. 122
magnetization = 0.000 μB/f.u.
calculated volume = 142 Å³/cell

Unit cell a=7.1939 b=7.1939 c=5.7753 alpha=51.48 beta=51.48 gamma=90.00
Last column: nearest neighbours and their distance in Å.
Fractional coordinates of all 8 atoms:
1 Nb 0.0000 0.0000 0.0000  4 Al 2.65, 2 Ti 2.73
2 Nb 0.7500 0.2500 0.5000  4 Al 2.65, 2 Ti 2.73
3 Al 0.8750 0.8717 0.7500  2 Ti 2.62, 2 Nb 2.65, 2 Al 2.74
4 Al 0.6217 0.1250 0.2500  2 Ti 2.62, 2 Nb 2.65, 2 Al 2.74
5 Al 0.1283 0.6250 0.2500  2 Ti 2.62, 2 Nb 2.65, 2 Al 2.74
6 Al 0.3750 0.3783 0.7500  2 Ti 2.62, 2 Nb 2.65, 2 Al 2.74
7 Ti 0.5000 0.5000 0.0000  4 Al 2.62, 2 Nb 2.73
8 Ti 0.2500 0.7500 0.5000  4 Al 2.62, 2 Nb 2.73